(1)
VASP calculation (PBE-GGA) on a relaxed structure of DyHf3.

extended XYZ file:
```
4
Lattice="4.5804 0.0000 0.0000 0.0000 4.5804 0.0000 0.0000 0.0000 4.5804" Properties=species:S:1:pos:R:3 pbc="T T T"
Dy 0.0000 0.0000 0.0000
Hf 0.0000 2.2902 2.2902
Hf 2.2902 0.0000 2.2902
Hf 2.2902 2.2902 0.0000
```

Its space group is No. 221. The calculation puts the polymorph energy (0 for the lowest one) at 93 meV per atom. The energy of formation from the pure elements comes out at 17 kJ/mol of atoms.

(2)
VASP calculation (PBE-GGA) on a relaxed structure of As2CCl.

extended XYZ file:
```
8
Lattice="-3.0875 3.0875 4.1265 3.0875 -3.0875 4.1265 3.0875 3.0875 -4.1265" Properties=species:S:1:pos:R:3 pbc="T T T"
As 4.6312 0.9433 -1.0316
As 0.9433 1.5437 1.0316
As -1.5437 2.1442 3.0949
As 2.1442 1.5437 5.1582
C 0.0000 0.0000 0.0000
C 0.0000 3.0875 2.0633
Cl 3.0875 0.0000 2.0633
Cl 0.0000 0.0000 4.1265
```

Its space group is No. 122. The calculation puts the polymorph energy (0 for the lowest one) at 0 meV per atom. Its uncorrected formation energy is 78.30 kJ/mol of atoms.